The following is a PBE+U calculation of CaZrV2O8 after structural relaxation, from the Alexandria database.

The structure belongs to space group I-4m2 (No. 119); the cell edges are 7.114, 7.114 and 6.232 Å and the angles 90.00°, 90.00° and 90.00°. The distinct sites, in fractional coordinates, are Ca at (0.000, 0.000, 0.000), Zr at (0.000, 0.500, 0.750), V at (0.000, 0.000, 0.500), V at (0.000, 0.500, 0.250), O at (0.000, 0.197, 0.666) and O at (0.000, 0.322, 0.060).

Its density of states at the Fermi level is 0.00 states/eV/f.u. For the total energy, the calculation gives -190.294 eV/cell. For the density, the calculation gives 3.80 g/cm3.